i | 6
Lattice="-3.981 0.902 1.386 0.201 -3.323 2.738 4.682 7.397 8.635" Properties=species:S:1:pos:R:3 comment="AcLaTb, optimized geometry, DFT PBE" dos_at_fermi_per_ev_cell=12.597 pbc="T T T"
La 2.838 2.663 6.418
La -0.046 3.523 4.279
Tb 1.397 5.802 6.940
Tb 1.395 0.384 3.757
Ac 4.293 4.962 9.102
Ac -1.501 1.224 1.596

ii | 3
Lattice="3.792 0.000 0.000 0.000 5.313 0.000 -1.896 -2.656 5.627" Properties=species:S:1:pos:R:3 comment="AcLaTb, optimized geometry, DFT PBE" dos_at_fermi_per_ev_cell=4.710 pbc="T T T"
Ac 0.000 0.000 0.001
La 0.000 0.000 3.731
Tb 1.896 2.656 1.896

Stability ranking, top entry: ii; the second entry is 0.066 eV/atom less favorable.

i | 12
Lattice="-6.860 0.972 -2.029 -1.222 -8.162 4.831 -2.282 2.875 6.217" Properties=species:S:1:pos:R:3 comment="Ac3La2Tb, optimized geometry, DFT PBE" dos_at_fermi_per_ev_cell=17.501 pbc="T T T"
Ac -5.502 0.146 3.588
Ac -4.863 -4.461 5.431
Ac -3.737 -5.890 8.796
Ac -5.720 -3.144 1.943
Ac -4.644 -1.171 7.076
Ac -6.627 1.576 0.222
La -8.210 -2.420 5.023
La -3.053 -0.253 0.526
La -7.312 -4.062 8.493
La -2.155 -1.894 3.995
Tb -1.918 -5.700 4.082
Tb -8.446 1.385 4.936

ii | 12
Lattice="-1.858 -2.723 -2.148 -5.088 -2.202 7.192 -9.281 9.258 -3.707" Properties=species:S:1:pos:R:3 comment="Ac3La2Tb, optimized geometry, DFT PBE" dos_at_fermi_per_ev_cell=19.511 pbc="T T T"
Ac -7.485 3.428 -3.276
Ac -8.742 0.905 4.612
Ac -6.775 -1.055 1.792
Ac -9.452 5.388 -0.456
Ac -2.686 -0.918 1.685
Ac -13.541 5.251 -0.349
La -6.384 2.667 0.339
La -9.843 1.666 0.997
La -10.049 6.016 -4.338
La -6.178 -1.682 5.674
Tb -11.505 4.443 2.518
Tb -4.722 -0.110 -1.182

Stability ranking, top entry: ii; the second entry is 0.047 eV/atom less favorable.

i | 20
Lattice="10.026 -0.084 -0.126 -2.868 9.607 -0.126 -2.868 -3.816 8.818" Properties=species:S:1:pos:R:3 comment="Ac12La7Tb, optimized geometry, DFT PBE" dos_at_fermi_per_ev_cell=33.771 pbc="T T T"
Ac 5.105 0.665 5.306
Ac 5.070 2.771 1.827
Ac 3.000 -0.637 2.482
Ac 5.735 4.459 5.115
Ac 1.251 -0.487 5.909
Ac 2.688 2.121 8.198
Ac 1.602 3.587 0.368
Ac 3.038 6.194 2.657
Ac -1.446 1.249 3.452
Ac 1.290 6.344 6.085
Ac -0.781 2.937 6.740
Ac -0.815 5.042 3.260
La -3.806 2.737 8.674
La 0.602 -3.413 7.897
La -3.445 7.431 2.699
La 2.145 2.854 4.283
La 7.735 -1.723 5.867
La 3.688 9.120 0.669
La 8.096 2.970 -0.108
Tb 0.000 0.000 0.000

ii | 20
Lattice="10.030 0.000 -3.546 -5.015 8.686 -3.546 0.000 0.000 10.638" Properties=species:S:1:pos:R:3 comment="Ac12La7Tb, optimized geometry, DFT PBE" dos_at_fermi_per_ev_cell=33.084 pbc="T T T"
Ac 1.661 6.339 4.049
Ac 5.659 6.339 -3.762
Ac 3.354 2.347 -0.503
Ac -0.644 2.347 7.308
Ac 7.675 0.616 -0.216
Ac 5.371 4.608 3.043
Ac -2.660 8.070 3.762
Ac -0.356 4.079 0.503
Ac 3.304 6.955 0.216
Ac 1.711 1.731 3.330
Ac 6.320 1.731 6.589
Ac -1.305 6.955 -3.043
La 2.507 4.343 -3.546
La -2.507 4.343 3.546
La 5.015 0.000 3.546
La 2.507 4.343 1.773
La 0.000 0.000 5.319
La 5.015 0.000 -1.773
La -2.507 4.343 -1.773
Tb 0.000 0.000 0.000

Stability ranking, top entry: i; the second entry is 0.473 eV/atom less favorable.

i | 9
Lattice="-2.494 2.639 0.564 -4.721 -2.605 -8.695 -2.701 -4.436 8.815" Properties=species:S:1:pos:R:3 comment="AcLa6Tb2, optimized geometry, DFT PBE" dos_at_fermi_per_ev_cell=14.996 pbc="T T T"
Ac -1.247 1.319 0.282
La -3.219 -1.776 -5.928
La -2.362 -2.241 0.038
La -1.841 -3.024 6.009
La -2.224 -0.286 3.472
La -5.983 -3.173 0.359
La -2.956 0.377 -2.865
Tb -4.048 -3.215 -2.858
Tb -3.375 -3.825 2.978

ii | 9
Lattice="-0.614 3.359 1.568 -10.159 -1.433 -0.907 -5.882 -4.435 7.198" Properties=species:S:1:pos:R:3 comment="AcLa6Tb2, optimized geometry, DFT PBE" dos_at_fermi_per_ev_cell=14.550 pbc="T T T"
Ac 0.000 0.000 0.000
La -6.125 -1.446 0.700
La -11.405 -3.377 2.771
La -9.916 -4.422 5.591
La -9.056 -0.744 2.550
La -4.637 -2.491 3.521
La -7.599 -1.766 5.310
Tb -3.258 0.600 1.941
Tb -13.397 -3.109 5.918

Stability ranking, top entry: i; the second entry is 0.066 eV/atom less favorable.

i | 20
Lattice="6.484 0.000 0.000 0.000 8.822 -3.651 0.000 0.324 12.383" Properties=species:S:1:pos:R:3 comment="AcLaTb3, optimized geometry, DFT PBE" dos_at_fermi_per_ev_cell=35.488 pbc="T T T"
Ac 1.120 8.565 3.998
Ac 4.362 5.154 9.099
Ac 5.364 0.581 4.733
Ac 2.122 3.992 -0.367
La 4.318 6.684 3.510
La 2.166 2.461 5.222
La 5.408 2.111 -0.856
La 1.076 7.034 9.587
Tb 5.440 4.176 5.775
Tb 4.286 8.425 -2.242
Tb 2.113 5.938 6.312
Tb 5.355 7.780 6.785
Tb 4.371 3.207 2.420
Tb 1.044 4.969 2.957
Tb 1.066 3.319 8.597
Tb 5.418 5.827 0.135
Tb 2.198 0.721 10.973
Tb 1.129 1.365 1.946
Tb 2.176 7.568 0.580
Tb 4.308 1.578 8.151

ii | 10
Lattice="-2.379 4.663 -0.461 -4.416 -1.702 5.578 6.267 0.965 7.366" Properties=species:S:1:pos:R:3 comment="AcLaTb3, optimized geometry, DFT PBE" dos_at_fermi_per_ev_cell=15.694 pbc="T T T"
Ac -1.862 2.880 8.785
Ac 1.333 1.046 3.698
La -2.212 2.201 3.724
La 1.683 1.725 8.759
Tb -3.289 -1.260 4.222
Tb 2.760 5.186 8.261
Tb 3.916 2.594 6.029
Tb -4.444 1.332 6.454
Tb -0.882 0.189 6.462
Tb 0.354 3.737 6.021

Stability ranking, top entry: ii; the second entry is 0.006 eV/atom less favorable.

i | 10
Lattice="-0.791 2.377 -2.821 0.740 -8.810 -7.638 -8.052 -7.426 -3.992" Properties=species:S:1:pos:R:3 comment="AcLa3Tb, optimized geometry, DFT PBE" dos_at_fermi_per_ev_cell=17.726 pbc="T T T"
Ac -1.860 -4.832 -4.843
Ac -6.467 -12.809 -10.285
La -5.503 -4.514 -6.080
La -4.355 -1.939 -4.232
La -5.774 -8.974 -9.767
La -0.985 -1.029 -4.412
La -0.082 -6.809 -9.545
La -3.344 -6.289 -8.183
Tb -6.138 -7.988 -6.307
Tb -2.190 -9.652 -8.822

ii | 10
Lattice="6.651 0.000 0.000 0.000 6.647 0.000 0.000 3.324 9.019" Properties=species:S:1:pos:R:3 comment="AcLa3Tb, optimized geometry, DFT PBE" dos_at_fermi_per_ev_cell=20.491 pbc="T T T"
Ac 4.988 3.324 5.733
Ac 1.663 6.647 3.286
La 4.988 1.737 2.502
La 4.988 4.910 2.502
La 1.663 5.061 6.517
La 1.663 8.234 6.517
La 0.000 0.000 0.000
La 3.325 0.000 0.000
Tb 4.988 6.647 8.047
Tb 1.663 3.324 0.971

Stability ranking, top entry: i; the second entry is 0.229 eV/atom less favorable.